This record from the Alexandria database describes PuMgHg after structural relaxation. The functional is PBE.

Summary:
Volume: 24.05 Å³/atom
Formation energy from the elements: -0.09 eV per atom
Total DFT energy (no corrections): -5.4946 eV per atom

```
data_PuMgHg
_cell_length_a 4.3217
_cell_length_b 4.7490
_cell_length_c 7.3548
_cell_angle_alpha 90.00
_cell_angle_beta 107.08
_cell_angle_gamma 90.00
_symmetry_space_group_name_H-M 'P 1 21/m 1'
_symmetry_Int_Tables_number 11
loop_
_symmetry_equiv_pos_as_xyz
'x,y,z'
'-x,-y,-z'
'-x,y+1/2,-z'
'x,-y+1/2,z'
loop_
_atom_site_label
_atom_site_type_symbol
_atom_site_fract_x
_atom_site_fract_y
_atom_site_fract_z
Pu1 Pu 0.0609 0.2500 0.1225
Mg1 Mg 0.2502 0.7500 0.5000
Hg1 Hg 0.3850 0.2500 0.7699
```

This record from the Alexandria database describes PuMgHg4 after structural relaxation. The functional is PBE.

Summary:
Volume: 24.36 Å³/atom
Formation energy from the elements: -0.13 eV per atom
Total DFT energy (no corrections): -2.9811 eV per atom
E above lowest polymorph: 0 meV per atom

```
data_PuMgHg4
_cell_length_a 10.6084
_cell_length_b 3.8317
_cell_length_c 7.6310
_cell_angle_alpha 90.00
_cell_angle_beta 109.52
_cell_angle_gamma 90.00
_symmetry_space_group_name_H-M 'C 1 2/m 1'
_symmetry_Int_Tables_number 12
loop_
_symmetry_equiv_pos_as_xyz
'x,y,z'
'-x,-y,-z'
'-x,y,-z'
'x,-y,z'
'x+1/2,y+1/2,z'
'-x+1/2,-y+1/2,-z'
'-x+1/2,y+1/2,-z'
'x+1/2,-y+1/2,z'
loop_
_atom_site_label
_atom_site_type_symbol
_atom_site_fract_x
_atom_site_fract_y
_atom_site_fract_z
Pu1 Pu 0.0000 0.0000 0.0000
Mg1 Mg 0.0000 0.0000 0.5000
Hg1 Hg 0.1631 0.5000 0.3463
Hg2 Hg 0.1681 0.5000 0.8161
```

This record from the Alexandria database describes PuMg3Hg3 after structural relaxation. The functional is PBE.

Summary:
Volume: 30.79 Å³/atom
Formation energy from the elements: 0.28 eV per atom
Total DFT energy (no corrections): -2.5824 eV per atom

```
data_PuMg3Hg3
_cell_length_a 7.5539
_cell_length_b 7.5539
_cell_length_c 7.5539
_cell_angle_alpha 90.00
_cell_angle_beta 90.00
_cell_angle_gamma 90.00
_symmetry_space_group_name_H-M 'P m -3 n'
_symmetry_Int_Tables_number 223
_symmetry_space_group_name_Hall '-P 4n 2 3'
loop_
_atom_site_label
_atom_site_type_symbol
_atom_site_fract_x
_atom_site_fract_y
_atom_site_fract_z
Pu1 Pu 0.0000 0.0000 0.0000
Mg1 Mg 0.0000 0.2500 0.5000
Hg1 Hg 0.0000 0.5000 0.2500
```

This record from the Alexandria database describes PuMgHg3 after structural relaxation. The functional is PBE.

Summary:
Volume: 24.73 Å³/atom
Formation energy from the elements: -0.09 eV per atom
Total DFT energy (no corrections): -3.4595 eV per atom
E above lowest polymorph: 0 meV per atom

```
data_PuMgHg3
_cell_length_a 14.3081
_cell_length_b 5.3535
_cell_length_c 6.4702
_cell_angle_alpha 90.00
_cell_angle_beta 93.77
_cell_angle_gamma 90.00
_symmetry_space_group_name_H-M 'C 1 2/m 1'
_symmetry_Int_Tables_number 12
loop_
_symmetry_equiv_pos_as_xyz
'x,y,z'
'-x,-y,-z'
'-x,y,-z'
'x,-y,z'
'x+1/2,y+1/2,z'
'-x+1/2,-y+1/2,-z'
'-x+1/2,y+1/2,-z'
'x+1/2,-y+1/2,z'
loop_
_atom_site_label
_atom_site_type_symbol
_atom_site_fract_x
_atom_site_fract_y
_atom_site_fract_z
Pu1 Pu 0.0937 0.0000 0.1480
Mg1 Mg 0.1860 0.5000 0.5005
Hg1 Hg 0.0114 0.5000 0.7489
Hg2 Hg 0.1174 0.0000 0.6381
Hg3 Hg 0.2003 0.5000 0.0282
```

This record from the Alexandria database describes PuMg4Hg5 after structural relaxation. The functional is PBE.

Summary:
Volume: 22.12 Å³/atom
Formation energy from the elements: -0.21 eV per atom
Total DFT energy (no corrections): -2.4286 eV per atom

```
data_PuMg4Hg5
_cell_length_a 3.3190
_cell_length_b 3.3190
_cell_length_c 20.0771
_cell_angle_alpha 90.00
_cell_angle_beta 90.00
_cell_angle_gamma 90.00
_symmetry_space_group_name_H-M 'P 4/m m m'
_symmetry_Int_Tables_number 123
_symmetry_space_group_name_Hall '-P 4 2'
loop_
_atom_site_label
_atom_site_type_symbol
_atom_site_fract_x
_atom_site_fract_y
_atom_site_fract_z
Pu1 Pu 0.0000 0.0000 0.0000
Mg1 Mg 0.0000 0.0000 0.2102
Mg2 Mg 0.0000 0.0000 0.4029
Hg1 Hg 0.5000 0.5000 0.1135
Hg2 Hg 0.5000 0.5000 0.3065
Hg3 Hg 0.5000 0.5000 0.5000
```

This record from the Alexandria database describes PuMgSc2Hg4 after structural relaxation. The functional is PBE.

Summary:
Volume: 23.02 Å³/atom
Formation energy from the elements: -0.27 eV per atom
Total DFT energy (no corrections): -3.9936 eV per atom

```
data_PuMgSc2Hg4
_cell_length_a 5.0009
_cell_length_b 5.0009
_cell_length_c 25.5129
_cell_angle_alpha 90.00
_cell_angle_beta 90.00
_cell_angle_gamma 120.00
_symmetry_space_group_name_H-M 'R -3 m'
_symmetry_Int_Tables_number 166
_symmetry_space_group_name_Hall '-R 3 2"'
loop_
_atom_site_label
_atom_site_type_symbol
_atom_site_fract_x
_atom_site_fract_y
_atom_site_fract_z
Pu1 Pu 0.0000 0.0000 0.0000
Mg1 Mg 0.0000 0.0000 0.5000
Sc1 Sc 0.0000 0.0000 0.2471
Hg1 Hg 0.0000 0.0000 0.1275
Hg2 Hg 0.0000 0.0000 0.3821
```

| no. | theoretical density (g/cm3) |
| --- | --- |
| 1 | 10.79 |
| 2 | 12.16 |
| 3 | 7.08 |
| 4 | 11.69 |
| 5 | 10.09 |
| 6 | 10.46 |